# TbPr2As2N6 GGA-PBE relaxed
# * total energy: -79.40 eV per formula unit
# * magnetic moment: 0.0003 μB per atom
# * calculated volume: 13.4 A^3/atom
data_TbPr2As2N6
_cell_length_a 10.088
_cell_length_b 10.088
_cell_length_c 10.088
_cell_angle_alpha 157.75
_cell_angle_beta 157.75
_cell_angle_gamma 31.68
_space_group_name_H-M_alt 'P 1'
_space_group_IT_number 1
_space_group_name_Hall 'P 1'
loop_
_atom_site_label
_atom_site_type_symbol
_atom_site_fract_x
_atom_site_fract_y
_atom_site_fract_z
_atom_site_occupancy
As1 As 0.399 0.399 0.000 1
As2 As 0.601 0.601 0.000 1
N1 N 0.303 0.303 0.000 1
N2 N 0.697 0.697 0.000 1
N3 N 0.581 0.081 0.500 1
N4 N 0.919 0.419 0.500 1
N5 N 0.081 0.581 0.500 1
N6 N 0.419 0.919 0.500 1
Pr1 Pr 0.179 0.179 0.000 1
Pr2 Pr 0.821 0.821 0.000 1
Tb1 Tb 0.000 0.000 0.000 1

=====

# SmSiHg GGA-PBE relaxed
# * energy relative to the lowest polymorph listed for this composition: 535 meV per atom
# * total energy: -10.51 eV per formula unit
# * magnetic moment: 0.0015 μB per atom
# * calculated volume: 28.2 A^3/atom
data_SmSiHg
_cell_length_a 4.925
_cell_length_b 4.925
_cell_length_c 4.925
_cell_angle_alpha 60.00
_cell_angle_beta 60.00
_cell_angle_gamma 60.00
_space_group_name_H-M_alt 'P 1'
_space_group_IT_number 1
_space_group_name_Hall 'P 1'
loop_
_atom_site_label
_atom_site_type_symbol
_atom_site_fract_x
_atom_site_fract_y
_atom_site_fract_z
_atom_site_occupancy
Hg1 Hg 0.250 0.250 0.250 1
Si1 Si 0.750 0.750 0.750 1
Sm1 Sm 0.000 0.000 0.000 1

=====

# NaB4W GGA-PBE relaxed
# * energy relative to the lowest polymorph listed for this composition: 170 meV per atom
# * total energy: -40.90 eV per formula unit
# * magnetic moment: 0.0005 μB per atom
# * calculated volume: 9.1 A^3/atom
data_NaB4W
_cell_length_a 4.558
_cell_length_b 4.558
_cell_length_c 4.558
_cell_angle_alpha 141.13
_cell_angle_beta 108.49
_cell_angle_gamma 84.51
_space_group_name_H-M_alt 'P 1'
_space_group_IT_number 1
_space_group_name_Hall 'P 1'
loop_
_atom_site_label
_atom_site_type_symbol
_atom_site_fract_x
_atom_site_fract_y
_atom_site_fract_z
_atom_site_occupancy
B1 B 0.589 0.253 0.336 1
B2 B 0.083 0.747 0.336 1
B3 B 0.917 0.253 0.664 1
B4 B 0.411 0.747 0.664 1
Na1 Na 0.500 0.500 0.000 1
W1 W 0.000 0.000 0.000 1

=====

# Hf4CdC2S GGA-PBE relaxed
# * total energy: -70.96 eV per formula unit
# * magnetic moment: 0.0008 μB per atom
# * calculated volume: 16.3 A^3/atom
data_Hf4CdC2S
_cell_length_a 3.337
_cell_length_b 3.337
_cell_length_c 13.554
_cell_angle_alpha 90.00
_cell_angle_beta 90.00
_cell_angle_gamma 120.00
_space_group_name_H-M_alt 'P 1'
_space_group_IT_number 1
_space_group_name_Hall 'P 1'
loop_
_atom_site_label
_atom_site_type_symbol
_atom_site_fract_x
_atom_site_fract_y
_atom_site_fract_z
_atom_site_occupancy
C1 C 0.333 0.667 0.274 1
C2 C 0.333 0.667 0.726 1
Cd1 Cd 0.000 0.000 0.000 1
Hf1 Hf 0.667 0.333 0.185 1
Hf2 Hf 0.000 0.000 0.365 1
Hf3 Hf 0.000 0.000 0.635 1
Hf4 Hf 0.667 0.333 0.815 1
S1 S 0.667 0.333 0.500 1

=====

# BaZnOs GGA-PBE relaxed
# * total energy: -11.76 eV per formula unit
# * magnetic moment: 0.0009 μB per atom
# * calculated volume: 25.3 A^3/atom
data_BaZnOs
_cell_length_a 4.751
_cell_length_b 4.751
_cell_length_c 4.751
_cell_angle_alpha 60.00
_cell_angle_beta 60.00
_cell_angle_gamma 60.00
_space_group_name_H-M_alt 'P 1'
_space_group_IT_number 1
_space_group_name_Hall 'P 1'
loop_
_atom_site_label
_atom_site_type_symbol
_atom_site_fract_x
_atom_site_fract_y
_atom_site_fract_z
_atom_site_occupancy
Ba1 Ba 0.250 0.250 0.250 1
Os1 Os 0.000 0.000 0.000 1
Zn1 Zn 0.750 0.750 0.750 1

=====

# Zr4CdAuC2 GGA-PBE relaxed
# * total energy: -61.55 eV per formula unit
# * magnetic moment: 0.0034 μB per atom
# * calculated volume: 17.8 A^3/atom
data_Zr4CdAuC2
_cell_length_a 3.337
_cell_length_b 3.337
_cell_length_c 14.792
_cell_angle_alpha 90.00
_cell_angle_beta 90.00
_cell_angle_gamma 120.00
_space_group_name_H-M_alt 'P 1'
_space_group_IT_number 1
_space_group_name_Hall 'P 1'
loop_
_atom_site_label
_atom_site_type_symbol
_atom_site_fract_x
_atom_site_fract_y
_atom_site_fract_z
_atom_site_occupancy
Au1 Au 0.000 0.000 0.000 1
C1 C 0.333 0.667 0.243 1
C2 C 0.333 0.667 0.757 1
Cd1 Cd 0.667 0.333 0.500 1
Zr1 Zr 0.667 0.333 0.155 1
Zr2 Zr 0.000 0.000 0.327 1
Zr3 Zr 0.000 0.000 0.673 1
Zr4 Zr 0.667 0.333 0.845 1

=====

# ZnHgPO GGA-PBE relaxed
# * energy relative to the lowest polymorph listed for this composition: 466 meV per atom
# * total energy: -11.15 eV per formula unit
# * calculated volume: 17.8 A^3/atom
data_ZnHgPO
_cell_length_a 4.120
_cell_length_b 4.120
_cell_length_c 8.401
_cell_angle_alpha 90.00
_cell_angle_beta 90.00
_cell_angle_gamma 90.00
_space_group_name_H-M_alt 'P 1'
_space_group_IT_number 1
_space_group_name_Hall 'P 1'
loop_
_atom_site_label
_atom_site_type_symbol
_atom_site_fract_x
_atom_site_fract_y
_atom_site_fract_z
_atom_site_occupancy
Hg1 Hg 0.000 0.500 0.111 1
Hg2 Hg 0.500 0.000 0.889 1
O1 O 0.000 0.000 0.000 1
O2 O 0.500 0.500 0.000 1
P1 P 0.500 0.000 0.339 1
P2 P 0.000 0.500 0.661 1
Zn1 Zn 0.000 0.000 0.500 1
Zn2 Zn 0.500 0.500 0.500 1

=====

# PrMo3S6 GGA-PBE relaxed
# * total energy: -69.08 eV per formula unit
# * magnetic moment: 0.4966 μB per atom
# * calculated volume: 18.8 A^3/atom
data_PrMo3S6
_cell_length_a 10.087
_cell_length_b 3.718
_cell_length_c 10.515
_cell_angle_alpha 90.00
_cell_angle_beta 107.31
_cell_angle_gamma 90.00
_space_group_name_H-M_alt 'P 1'
_space_group_IT_number 1
_space_group_name_Hall 'P 1'
loop_
_atom_site_label
_atom_site_type_symbol
_atom_site_fract_x
_atom_site_fract_y
_atom_site_fract_z
_atom_site_occupancy
Mo1 Mo 0.183 0.750 0.016 1
Mo2 Mo 0.939 0.750 0.334 1
Mo3 Mo 0.335 0.250 0.413 1
Mo4 Mo 0.665 0.750 0.587 1
Mo5 Mo 0.061 0.250 0.666 1
Mo6 Mo 0.817 0.250 0.984 1
Pr1 Pr 0.553 0.750 0.211 1
Pr2 Pr 0.447 0.250 0.789 1
S1 S 0.360 0.250 0.034 1
S2 S 0.976 0.750 0.103 1
S3 S 0.781 0.250 0.219 1
S4 S 0.283 0.750 0.256 1
S5 S 0.587 0.250 0.423 1
S6 S 0.101 0.250 0.439 1
S7 S 0.899 0.750 0.561 1
S8 S 0.413 0.750 0.577 1
S9 S 0.717 0.250 0.744 1
S10 S 0.219 0.750 0.781 1
S11 S 0.024 0.250 0.897 1
S12 S 0.640 0.750 0.966 1

=====

# Co16Ni13 GGA-PBE relaxed
# * energy relative to the lowest polymorph listed for this composition: 31 meV per atom
# * total energy: -183.36 eV per formula unit
# * magnetic moment: 1.2041 μB per atom
# * calculated volume: 10.8 A^3/atom
data_Co16Ni13
_cell_length_a 7.421
_cell_length_b 7.421
_cell_length_c 7.421
_cell_angle_alpha 109.47
_cell_angle_beta 109.47
_cell_angle_gamma 109.47
_space_group_name_H-M_alt 'P 1'
_space_group_IT_number 1
_space_group_name_Hall 'P 1'
loop_
_atom_site_label
_atom_site_type_symbol
_atom_site_fract_x
_atom_site_fract_y
_atom_site_fract_z
_atom_site_occupancy
Co1 Co 0.636 0.000 0.000 1
Co2 Co 0.684 0.408 0.000 1
Co3 Co 0.000 0.636 0.000 1
Co4 Co 0.408 0.684 0.000 1
Co5 Co 0.592 0.592 0.276 1
Co6 Co 0.724 0.316 0.316 1
Co7 Co 0.316 0.724 0.316 1
Co8 Co 0.364 0.364 0.364 1
Co9 Co 0.684 0.000 0.408 1
Co10 Co 0.000 0.684 0.408 1
Co11 Co 0.592 0.276 0.592 1
Co12 Co 0.276 0.592 0.592 1
Co13 Co 0.000 0.000 0.636 1
Co14 Co 0.408 0.000 0.684 1
Co15 Co 0.000 0.408 0.684 1
Co16 Co 0.316 0.316 0.724 1
Ni1 Ni 0.000 0.000 0.000 1
Ni2 Ni 0.376 0.191 0.000 1
Ni3 Ni 0.191 0.376 0.000 1
Ni4 Ni 0.809 0.809 0.185 1
Ni5 Ni 0.376 0.000 0.191 1
Ni6 Ni 0.000 0.376 0.191 1
Ni7 Ni 0.191 0.000 0.376 1
Ni8 Ni 0.000 0.191 0.376 1
Ni9 Ni 0.815 0.624 0.624 1
Ni10 Ni 0.624 0.815 0.624 1
Ni11 Ni 0.809 0.185 0.809 1
Ni12 Ni 0.185 0.809 0.809 1
Ni13 Ni 0.624 0.624 0.815 1

=====

# Ta2ZnBi GGA-PBE relaxed
# * total energy: -26.39 eV per formula unit
# * magnetic moment: 0.0020 μB per atom
# * calculated volume: 19.8 A^3/atom
data_Ta2ZnBi
_cell_length_a 4.821
_cell_length_b 4.821
_cell_length_c 4.821
_cell_angle_alpha 60.00
_cell_angle_beta 60.00
_cell_angle_gamma 60.00
_space_group_name_H-M_alt 'P 1'
_space_group_IT_number 1
_space_group_name_Hall 'P 1'
loop_
_atom_site_label
_atom_site_type_symbol
_atom_site_fract_x
_atom_site_fract_y
_atom_site_fract_z
_atom_site_occupancy
Bi1 Bi 0.500 0.500 0.500 1
Ta1 Ta 0.000 0.000 0.000 1
Ta2 Ta 0.750 0.750 0.750 1
Zn1 Zn 0.250 0.250 0.250 1

=====

# LuAl3 GGA-PBE relaxed
# * total energy: -16.07 eV per formula unit
# * magnetic moment: 0.0005 μB per atom
# * calculated volume: 19.5 A^3/atom
data_LuAl3
_cell_length_a 4.794
_cell_length_b 4.794
_cell_length_c 4.794
_cell_angle_alpha 60.00
_cell_angle_beta 60.00
_cell_angle_gamma 60.00
_space_group_name_H-M_alt 'P 1'
_space_group_IT_number 1
_space_group_name_Hall 'P 1'
loop_
_atom_site_label
_atom_site_type_symbol
_atom_site_fract_x
_atom_site_fract_y
_atom_site_fract_z
_atom_site_occupancy
Al1 Al 0.000 0.000 0.000 1
Al2 Al 0.250 0.250 0.250 1
Al3 Al 0.500 0.500 0.500 1
Lu1 Lu 0.750 0.750 0.750 1

=====

# TmCoHg GGA-PBE relaxed
# * total energy: -10.49 eV per formula unit
# * magnetic moment: 0.1732 μB per atom
# * calculated volume: 23.9 A^3/atom
data_TmCoHg
_cell_length_a 4.663
_cell_length_b 4.663
_cell_length_c 4.663
_cell_angle_alpha 60.00
_cell_angle_beta 60.00
_cell_angle_gamma 60.00
_space_group_name_H-M_alt 'P 1'
_space_group_IT_number 1
_space_group_name_Hall 'P 1'
loop_
_atom_site_label
_atom_site_type_symbol
_atom_site_fract_x
_atom_site_fract_y
_atom_site_fract_z
_atom_site_occupancy
Co1 Co 0.250 0.250 0.250 1
Hg1 Hg 0.750 0.750 0.750 1
Tm1 Tm 0.000 0.000 0.000 1